[1]
Compound: BeHgS2
Source: the Alexandria database
Functional: GGA-PBE
Structure: relaxed

The structure in POSCAR format:
```
BeHgS2
1.0
6.243 0.000 0.000
0.000 3.633 0.000
0.000 0.000 16.532
S Hg Be
8 4 4
direct
0.274 0.250 0.072 S
0.381 0.750 0.321 S
0.774 0.250 0.428 S
0.226 0.750 0.572 S
0.726 0.750 0.928 S
0.619 0.250 0.679 S
0.119 0.250 0.821 S
0.881 0.750 0.179 S
0.010 0.750 0.372 Hg
0.490 0.250 0.872 Hg
0.990 0.250 0.628 Hg
0.510 0.750 0.128 Hg
0.988 0.750 0.860 Be
0.012 0.250 0.140 Be
0.488 0.750 0.640 Be
0.512 0.250 0.360 Be
```

Properties
Energy relative to the elements, uncorrected = -1.62 eV per formula unit
Energy above the most stable polymorph in this dataset = 0.153 eV/atom


[2]
Compound: Ti2NbI8
Source: the Alexandria database
Functional: GGA-PBE
Structure: relaxed

The structure in POSCAR format:
```
Ti2NbI8
1.0
-3.903 0.017 5.483
2.070 -8.347 1.449
7.065 1.181 4.974
I Ti Nb
8 2 1
direct
0.785 0.713 0.109 I
0.215 0.891 0.287 I
0.257 0.363 0.363 I
0.785 0.109 0.713 I
0.215 0.287 0.891 I
0.736 0.173 0.173 I
0.743 0.637 0.637 I
0.264 0.827 0.827 I
0.662 0.828 0.828 Ti
0.338 0.172 0.172 Ti
0.000 0.000 0.000 Nb
```

Properties
Energy relative to the elements, uncorrected = -6.06 eV per formula unit


[3]
Compound: BaPaAs2O8
Source: the Alexandria database
Functional: GGA-PBE
Structure: relaxed

The structure in POSCAR format:
```
BaPaAs2O8
1.0
-2.785 2.225 4.481
5.198 -2.293 0.710
3.272 6.974 -1.429
O Pa Ba As
8 1 1 2
direct
0.171 0.342 0.810 O
0.829 0.658 0.190 O
0.333 0.667 0.515 O
0.171 0.829 0.810 O
0.667 0.333 0.485 O
0.829 0.171 0.190 O
0.658 0.829 0.810 O
0.342 0.171 0.190 O
0.000 0.000 0.000 Pa
0.000 0.000 0.500 Ba
0.667 0.333 0.270 As
0.333 0.667 0.730 As
```

Properties
Energy relative to the elements, uncorrected = -25.89 eV per formula unit


[4]
Compound: K3NaSe2
Source: the Alexandria database
Functional: GGA-PBE
Structure: relaxed

The structure in POSCAR format:
```
K3NaSe2
1.0
-2.783 -6.606 2.716
4.900 -3.399 -3.245
3.571 5.648 6.578
Se K Na
4 6 2
direct
0.667 0.887 0.774 Se
0.893 0.613 0.226 Se
0.333 0.113 0.226 Se
0.107 0.387 0.774 Se
0.629 0.315 0.630 K
0.001 0.815 0.630 K
0.500 0.250 0.000 K
0.500 0.750 0.000 K
0.999 0.185 0.370 K
0.371 0.685 0.370 K
0.000 0.750 0.000 Na
0.000 0.250 0.000 Na
```

Properties
Energy relative to the elements, uncorrected = -6.41 eV per formula unit


- Which of these has the highest energy relative to the elements, uncorrected?
  BeHgS2


- Among the records above, which one has the highest energy relative to the elements, uncorrected?
  BeHgS2


- Which value of energy relative to the elements, uncorrected does entry 2 give?
  -6.06 eV per formula unit


- The lowest energy relative to the elements, uncorrected belongs to which entry?
  BaPaAs2O8